[1]
Below is a geometry-optimized La2DyEr8 structure, with properties calculated at the GGA-PBE level.

abc: 18.131 5.038 7.949
angles: 90.00 105.26 90.00
Space group C2/m (No. 12)
One atom of each set of equivalent atoms:
La: 0.227 0.000 0.137 (multiplicity 4)
Dy: 0.000 0.500 0.500 (multiplicity 2)
Er: 0.043 0.000 0.228 (multiplicity 4)
Er: 0.089 0.500 0.953 (multiplicity 4)
Er: 0.134 0.000 0.675 (multiplicity 4)
Er: 0.180 0.500 0.406 (multiplicity 4)

Results
* DFT formation energy: 3.2 kJ per mole of atoms
* electronic total energy: -101.2 eV per cell

[2]
Below is a geometry-optimized La2Dy5Er2 structure, with properties calculated at the GGA-PBE level.

abc: 14.935 11.894 6.738
angles: 90.00 90.00 90.00
Space group Ima2 (No. 46)
One atom of each set of equivalent atoms:
La: 0.127 0.002 0.000 (multiplicity 8)
Dy: 0.053 0.747 0.859 (multiplicity 8)
Dy: 0.143 0.233 0.680 (multiplicity 8)
Dy: 0.250 0.741 0.651 (multiplicity 4)
Er: 0.000 0.000 0.541 (multiplicity 4)
Er: 0.250 0.009 0.460 (multiplicity 4)

Results
* DFT formation energy: 20.2 kJ per mole of atoms
* electronic total energy: -160.4 eV per cell

[3]
Below is a geometry-optimized LaDyEr5 structure, with properties calculated at the GGA-PBE level.

abc: 5.777 8.592 11.820
angles: 90.00 90.00 90.00
Space group Immm (No. 71)
One atom of each set of equivalent atoms:
La: 0.000 0.000 0.000 (multiplicity 2)
Dy: 0.000 0.000 0.500 (multiplicity 2)
Er: 0.000 0.000 0.254 (multiplicity 4)
Er: 0.000 0.321 0.500 (multiplicity 4)
Er: 0.000 0.500 0.000 (multiplicity 2)

Results
* DFT formation energy: 109.8 kJ per mole of atoms
* electronic total energy: -48.7 eV per cell
* relative energy among the computed polymorphs: 964 meV/atom

[4]
Below is a geometry-optimized LaDyEr structure, with properties calculated at the GGA-PBE level.

abc: 6.470 3.523 8.838
angles: 90.00 90.00 90.00
Space group Pmma (No. 51)
One atom of each set of equivalent atoms:
La: 0.250 0.000 0.154 (multiplicity 2)
Dy: 0.250 0.500 0.799 (multiplicity 2)
Er: 0.000 0.000 0.500 (multiplicity 2)

Results
* DFT formation energy: 16.8 kJ per mole of atoms
* electronic total energy: -27.1 eV per cell
* relative energy among the computed polymorphs: 152 meV/atom